Compound: MoOsPb2O8
Source: the Alexandria database
Functional: PBE+U
Structure: relaxed

Final energy = -78.63 eV for the cell shown
Density of states at the Fermi level = 0.027 states/eV per atom

a b c (Å): 5.3029 6.4491 5.3360
angles (deg): 90.00 90.09 90.00
Sites, in units of the cell vectors:
Mo: 0.0000 0.0000 0.0000
Os: 0.0000 0.5000 0.0000
Pb: 0.5000 0.2490 0.5000
Pb: 0.5000 0.7510 0.5000
O: 0.1709 0.2418 0.8406
O: 0.1709 0.7582 0.8406
O: 0.2280 0.5000 0.2449
O: 0.2494 0.0000 0.2609
O: 0.7506 0.0000 0.7391
O: 0.7720 0.5000 0.7551
O: 0.8291 0.2418 0.1594
O: 0.8291 0.7582 0.1594